Crystalline Tb4Pr3Ho5 at its relaxed geometry. Source: Alexandria via LeMat-Bulk, functional PBE.

Unit cell a=5.754 b=9.690 c=9.569 alpha=114.77 beta=72.50 gamma=72.73
Last column: magnetic moment on the atom in μB.
Sites, in units of the cell vectors:
Tb  0.955  0.842  0.247  0.00
Tb  0.838  0.191  0.133  0.01
Tb  0.045  0.158  0.753  0.00
Tb  0.162  0.809  0.867  0.01
Pr  0.526  0.288  0.660  0.00
Pr  0.000  0.500  0.500  0.06
Pr  0.474  0.712  0.340  0.00
Ho  0.723  0.625  0.929  0.00
Ho  0.675  0.932  0.719  0.00
Ho  0.500  0.500  0.500  0.09
Ho  0.277  0.375  0.071  0.00
Ho  0.325  0.068  0.281  0.00

Values from the calculation:
As for the formation energy: 0.281 eV per atom. For the spin magnetization, the calculation gives 0.2 μB/f.u. As for the symmetry: C2/m. The value obtained for the total energy is -4.365 eV/atom.